The following is a PBE calculation of Na2Mg3H10S3O18 after structural relaxation, from Alexandria.

## Properties
VASP energy = -399.9 eV for the cell shown
symmetry = Cmc2_1

Cell lengths 10.644, 10.644, 10.003 Å; angles 90.00, 90.00, 40.17 degrees
Atoms (fractional coordinates):
Na 0.216 0.252 0.000
Na 0.252 0.216 0.500
Na 0.748 0.784 0.000
Na 0.784 0.748 0.500
Mg 0.218 0.782 0.193
Mg 0.345 0.498 0.485
Mg 0.498 0.345 0.985
Mg 0.502 0.655 0.485
Mg 0.655 0.502 0.985
Mg 0.782 0.218 0.693
H 0.015 0.558 0.779
H 0.030 0.709 0.660
H 0.032 0.144 0.057
H 0.098 0.616 0.856
H 0.144 0.032 0.557
H 0.165 0.835 0.432
H 0.291 0.970 0.660
H 0.384 0.902 0.856
H 0.441 0.559 0.693
H 0.442 0.985 0.779
H 0.558 0.015 0.279
H 0.559 0.441 0.193
H 0.616 0.098 0.356
H 0.709 0.030 0.160
H 0.835 0.165 0.932
H 0.856 0.968 0.057
H 0.902 0.384 0.356
H 0.968 0.856 0.557
H 0.970 0.291 0.160
H 0.985 0.442 0.279
S 0.157 0.525 0.200
S 0.203 0.797 0.878
S 0.475 0.843 0.200
S 0.525 0.157 0.700
S 0.797 0.203 0.378
S 0.843 0.475 0.700
O 0.003 0.442 0.670
O 0.020 0.341 0.334
O 0.048 0.719 0.565
O 0.083 0.917 0.761
O 0.087 0.709 0.182
O 0.088 0.912 0.002
O 0.229 0.452 0.340
O 0.266 0.614 0.877
O 0.281 0.952 0.565
O 0.287 0.713 0.392
O 0.291 0.913 0.182
O 0.319 0.374 0.104
O 0.341 0.020 0.834
O 0.374 0.319 0.604
O 0.386 0.734 0.877
O 0.442 0.003 0.170
O 0.452 0.229 0.840
O 0.484 0.516 0.113
O 0.516 0.484 0.613
O 0.548 0.771 0.340
O 0.558 0.997 0.670
O 0.614 0.266 0.377
O 0.626 0.681 0.104
O 0.659 0.980 0.334
O 0.681 0.626 0.604
O 0.709 0.087 0.682
O 0.713 0.287 0.892
O 0.719 0.048 0.065
O 0.734 0.386 0.377
O 0.771 0.548 0.840
O 0.912 0.088 0.502
O 0.913 0.291 0.682
O 0.917 0.083 0.261
O 0.952 0.281 0.065
O 0.980 0.659 0.834
O 0.997 0.558 0.170

---

The following is a PBE calculation of KCoBr4 after structural relaxation, from Alexandria.

## Properties
formation energy from raw total energies = -4.53 eV per formula unit
polymorph energy (0 for the lowest one) = 0 meV/atom
symmetry = I4_1/amd

Cell lengths 8.648, 8.648, 8.648 Å; angles 103.91, 103.91, 121.28 degrees
Atoms (fractional coordinates):
K 0.375 0.625 0.750
K 0.625 0.375 0.250
Co 0.125 0.875 0.250
Co 0.875 0.125 0.750
Br 0.138 0.712 0.426
Br 0.214 0.288 0.926
Br 0.288 0.214 0.426
Br 0.288 0.862 0.074
Br 0.712 0.138 0.926
Br 0.712 0.786 0.574
Br 0.786 0.712 0.074
Br 0.862 0.288 0.574

---

The following is a PBE calculation of CaCe3Pa2N6 after structural relaxation, from Alexandria.

## Properties
formation energy from raw total energies = -18.09 eV per formula unit
symmetry = C2/m

Cell lengths 7.915, 7.915, 7.084 Å; angles 103.54, 103.54, 25.89 degrees
Atoms (fractional coordinates):
Ca 0.000 0.000 0.000
Ce 0.000 0.000 0.500
Ce 0.335 0.335 0.166
Ce 0.665 0.665 0.834
Pa 0.335 0.335 0.671
Pa 0.665 0.665 0.329
N 0.166 0.166 0.101
N 0.169 0.169 0.567
N 0.489 0.489 0.736
N 0.511 0.511 0.264
N 0.831 0.831 0.433
N 0.834 0.834 0.899